Record 1
Density functional theory data (PBE) for a relaxed RbAg3Br6 crystal.

Spin magnetization   0.00 μB per cell
ΔE to the lowest computed polymorph   0 meV per atom
Uncorrected formation energy   -0.55 eV per atom

a = 7.4752 Å, b = 7.4917 Å, c = 7.5115 Å
α = 64.42°, β = 66.22°, γ = 74.30°
Last column: nearest neighbours and their distance in Å.
Space group P1 (No. 1)
Symmetry-distinct sites (fractional):
Rb 0.0000 0.0000 0.0000  7 Br 3.45-3.84
Ag 0.3435 0.1929 0.2534  4 Br 2.55-2.64
Ag 0.4567 0.4157 0.6979  4 Br 2.64-2.84
Ag 0.8761 0.6524 0.7211  4 Br 2.57-2.69
Br 0.0319 0.9966 0.4627  2 Ag 2.64-2.69
Br 0.0896 0.5419 0.9543  2 Ag 2.57-2.84
Br 0.2246 0.3666 0.5148  2 Ag 2.55-2.78
Br 0.4899 0.0332 0.9720  2 Ag 2.59-2.73
Br 0.6384 0.4052 0.0595  2 Ag 2.61-2.67
Br 0.6610 0.7236 0.4976  2 Ag 2.57-2.64

---

Record 2
Density functional theory data (PBE) for a relaxed Sr6CaMg2 crystal.

Spin magnetization   0.00 μB per cell
Calculated formation energy   0.009 eV/atom

a = 15.3534 Å, b = 4.1991 Å, c = 13.2287 Å
α = 90.00°, β = 106.29°, γ = 90.00°
Last column: nearest neighbours and their distance in Å.
Space group C2/m (No. 12)
Symmetry-distinct sites (fractional):
Sr 0.0335 0.0000 0.3318  2 Mg 3.73, 3 Sr 4.08-4.16
Sr 0.1686 0.5000 0.8865  3 Mg 3.74-3.97, 5 Sr 3.88-4.16, 2 Ca 3.94
Sr 0.1906 0.5000 0.6010  2 Mg 3.81, 8 Sr 3.88-4.25
Ca 0.0000 0.0000 0.0000  4 Mg 3.55, 4 Sr 3.94
Mg 0.1547 0.5000 0.1815  2 Ca 3.55, 7 Sr 3.73-3.97

---

Record 3
Density functional theory data (PBE) for a relaxed Np2ZnO6 crystal.

Spin magnetization   8.00 μB per cell
Uncorrected formation energy   -2.50 eV per atom

a = 5.1684 Å, b = 5.4589 Å, c = 9.3208 Å
α = 90.00°, β = 90.00°, γ = 90.00°
Last column: nearest neighbours and their distance in Å.
Space group Pnnm (No. 58)
Symmetry-distinct sites (fractional):
Np 0.0000 0.0000 0.1856  6 O 2.14-2.16
Zn 0.0000 0.5000 0.0000  6 O 2.09-2.19
O 0.1866 0.1599 0.0000  1 Zn 2.09, 2 Np 2.16
O 0.2264 0.6720 0.1712  2 Np 2.14-2.16, 1 Zn 2.19

---

Record 4
Density functional theory data (PBE) for a relaxed YCd7Hg12 crystal.

Spin magnetization   0.00 μB per cell
ΔE to the lowest computed polymorph   5 meV per atom
Calculated formation energy   -0.029 eV/atom

a = 13.7901 Å, b = 13.7901 Å, c = 9.2296 Å
α = 90.00°, β = 90.00°, γ = 120.00°
Last column: nearest neighbours and their distance in Å.
Space group R-3 (No. 148, hexagonal axes)
Symmetry-distinct sites (fractional):
Y 0.0000 0.0000 0.0000  6 Hg 3.17, 6 Cd 3.29
Cd 0.0000 0.0000 0.5000  12 Hg 3.10-3.41
Cd 0.0657 0.4844 0.6206  5 Hg 3.00-3.22, 1 Cd 3.03, 1 Y 3.29
Hg 0.0062 0.2462 0.5663  2 Cd 3.00-3.22, 3 Hg 3.11-3.28
Hg 0.0288 0.1658 0.2553  4 Cd 3.04-3.21, 3 Hg 3.11-3.28, 1 Y 3.17